## HfScPbC (PBE)

Data for a relaxed structure of HfScPbC.

abc: 3.3921 3.3921 14.8897
angles: 90.00 90.00 120.00
Closest atoms and distances in Å follow each position.
Fractional coordinates of all 8 atoms:
Hf 0.3333 0.6667 0.0804  3 C 2.30
Hf 0.6667 0.3333 0.9196  3 C 2.30
Sc 0.3333 0.6667 0.4203  3 C 2.29
Sc 0.6667 0.3333 0.5797  3 C 2.29
Pb 0.3333 0.6667 0.7513  3 Hf 3.18, 3 Sc 3.22, 6 Pb 3.39
Pb 0.6667 0.3333 0.2487  3 Hf 3.18, 3 Sc 3.22, 6 Pb 3.39
C 0.0000 0.0000 0.0000  6 Hf 2.30
C 0.0000 0.0000 0.5000  6 Sc 2.29


## AsPtW (PBE)

Data for a relaxed structure of AsPtW.

abc: 4.2954 4.2954 4.2954
angles: 60.00 60.00 60.00
Closest atoms and distances in Å follow each position.
Fractional coordinates of all 3 atoms:
As 0.0000 0.0000 0.0000  4 W 2.63
Pt 0.5000 0.5000 0.5000  4 W 2.63
W 0.2500 0.2500 0.2500  4 As 2.63, 4 Pt 2.63


## ErTc4Ge2 (PBE)

Data for a relaxed structure of ErTc4Ge2.

abc: 7.4349 7.4349 4.0787
angles: 90.00 90.00 147.82
Closest atoms and distances in Å follow each position.
Fractional coordinates of all 7 atoms:
Er 0.0000 0.0000 0.0000  8 Ge 3.15, 8 Tc 3.41-3.49
Tc 0.1916 0.8084 0.5000  2 Ge 2.55, 4 Tc 2.58-2.65
Tc 0.3025 0.6975 0.0000  4 Tc 2.55-2.58, 2 Ge 2.58
Tc 0.6975 0.3025 0.0000  4 Tc 2.55-2.58, 2 Ge 2.58
Tc 0.8084 0.1916 0.5000  2 Ge 2.55, 4 Tc 2.58-2.65
Ge 0.4133 0.5867 0.5000  1 Ge 2.48, 4 Tc 2.55-2.58
Ge 0.5867 0.4133 0.5000  1 Ge 2.48, 4 Tc 2.55-2.58


## TaGeAsO (PBE)

Data for a relaxed structure of TaGeAsO.

abc: 3.5023 3.5023 10.2465
angles: 90.00 90.00 90.00
Closest atoms and distances in Å follow each position.
Fractional coordinates of all 8 atoms:
Ta 0.2500 0.2500 0.1236  4 O 2.16
Ta 0.7500 0.7500 0.8764  4 O 2.16
Ge 0.2500 0.7500 0.5000  4 Ge 2.48
Ge 0.7500 0.2500 0.5000  4 Ge 2.48
As 0.2500 0.2500 0.7481  4 Ta 2.80, 4 Ge 3.09, 4 O 3.12
As 0.7500 0.7500 0.2519  4 Ta 2.80, 4 Ge 3.09, 4 O 3.12
O 0.2500 0.7500 0.0000  4 Ta 2.16
O 0.7500 0.2500 0.0000  4 Ta 2.16


## Sc2Ag2O5 (PBE)

Data for a relaxed structure of Sc2Ag2O5.

abc: 3.8757 3.8757 8.0051
angles: 90.00 90.00 90.00
Closest atoms and distances in Å follow each position.
Fractional coordinates of all 9 atoms:
Sc 0.0000 0.0000 0.2487  5 O 1.99-2.04
Sc 0.0000 0.0000 0.7513  5 O 1.99-2.04
Ag 0.5000 0.5000 0.0000  4 O 2.74
Ag 0.5000 0.5000 0.5000  8 O 2.38
O 0.0000 0.0000 0.0000  2 Sc 1.99
O 0.0000 0.5000 0.3263  2 Sc 2.04
O 0.0000 0.5000 0.6737  2 Sc 2.04
O 0.5000 0.0000 0.3263  2 Sc 2.04
O 0.5000 0.0000 0.6737  2 Sc 2.04


## FeCoNiBi (PBE)

Data for a relaxed structure of FeCoNiBi.

abc: 4.3404 4.3404 4.3404
angles: 60.00 60.00 60.00
Closest atoms and distances in Å follow each position.
Fractional coordinates of all 4 atoms:
Fe 0.0000 0.0000 0.0000  4 Co 2.66, 4 Ni 2.66
Co 0.7500 0.7500 0.7500  4 Fe 2.66, 4 Bi 2.66
Ni 0.2500 0.2500 0.2500  4 Fe 2.66, 4 Bi 2.66
Bi 0.5000 0.5000 0.5000  4 Co 2.66, 4 Ni 2.66


Number 1: final energy -7.933 eV/atom. Number 2: final energy -7.650 eV/atom. Number 3: final energy -8.268 eV/atom. Number 4: final energy -7.220 eV/atom. Number 5: final energy -6.483 eV/atom. Number 6: final energy -5.927 eV/atom.